Model A:
! YAgPd (PBE, optimized geometry); values from VASP
&SYSTEM
  ibrav = 0, nat = 3, ntyp = 3
/
ATOMIC_SPECIES
Ag 107.87 Ag.upf
Pd 106.42 Pd.upf
Y 88.91 Y.upf
ATOMIC_POSITIONS angstrom
Ag -6.068 2.401 -5.652
Pd -2.023 0.800 -1.884
Y 0.000 0.000 0.000
CELL_PARAMETERS angstrom
-3.375 -1.533 -2.888
-3.923 2.522 -0.578
-0.793 2.211 -4.070
! **Calculated volume**: 24.46 A^3/atom
! **Crystal system**: cubic
! **SG**: No. 216

***

Model B:
! YAgPd (PBE, optimized geometry); values from VASP
&SYSTEM
  ibrav = 0, nat = 3, ntyp = 3
/
ATOMIC_SPECIES
Pd 106.42 Pd.upf
Y 88.91 Y.upf
Ag 107.87 Ag.upf
ATOMIC_POSITIONS angstrom
Pd 0.000 0.000 0.000
Y -3.363 -4.844 6.119
Ag -1.121 -1.615 2.040
CELL_PARAMETERS angstrom
-1.502 -4.245 1.059
0.633 -1.680 4.263
-3.615 -0.534 2.836
! **Calculated volume**: 23.33 A^3/atom
! **Crystal system**: cubic
! **SG**: No. 216

***

Energies, relative to the best one, in kJ/mol of atoms: model A 34.6; model B 0.0.

***

Model A:
! ZrAgPd (PBE, optimized geometry); values from VASP
&SYSTEM
  ibrav = 0, nat = 3, ntyp = 3
/
ATOMIC_SPECIES
Zr 91.22 Zr.upf
Pd 106.42 Pd.upf
Ag 107.87 Ag.upf
ATOMIC_POSITIONS angstrom
Zr 0.000 0.000 5.372
Pd 0.000 0.000 8.427
Ag 0.000 0.000 2.509
CELL_PARAMETERS angstrom
-1.761 1.761 4.408
1.761 -1.761 4.408
1.761 1.761 -4.408
! **Calculated volume**: 18.23 A^3/atom
! **Crystal system**: tetragonal
! **SG**: No. 107

***

Model B:
! ZrAgPd (PBE, optimized geometry); values from VASP
&SYSTEM
  ibrav = 0, nat = 3, ntyp = 3
/
ATOMIC_SPECIES
Zr 91.22 Zr.upf
Ag 107.87 Ag.upf
Pd 106.42 Pd.upf
ATOMIC_POSITIONS angstrom
Zr -3.043 -4.976 5.772
Ag -1.014 -1.659 1.924
Pd 0.000 0.000 0.000
CELL_PARAMETERS angstrom
0.901 -3.460 2.677
-1.778 -0.179 4.094
-3.181 -2.996 0.925
! **Calculated volume**: 21.00 A^3/atom
! **Crystal system**: cubic
! **SG**: No. 216

***

Energies, relative to the best one, in kJ/mol of atoms: model A 0.0; model B 33.1.

***

Model A:
! Pm2Ag (PBE, optimized geometry); values from VASP
&SYSTEM
  ibrav = 0, nat = 6, ntyp = 2
/
ATOMIC_SPECIES
Pm 145.00 Pm.upf
Ag 107.87 Ag.upf
ATOMIC_POSITIONS angstrom
Pm 5.563 5.563 5.563
Pm 3.338 5.563 3.338
Pm 5.563 3.338 3.338
Pm 3.338 3.338 5.563
Ag 0.000 0.000 0.000
Ag 2.225 2.225 2.225
CELL_PARAMETERS angstrom
0.000 4.450 4.450
4.450 0.000 4.450
4.450 4.450 0.000
! **Calculated volume**: 29.38 A^3/atom
! **Crystal system**: cubic
! **SG**: No. 227

***

Model B:
! Pm2Ag (PBE, optimized geometry); values from VASP
&SYSTEM
  ibrav = 0, nat = 3, ntyp = 2
/
ATOMIC_SPECIES
Pm 145.00 Pm.upf
Ag 107.87 Ag.upf
ATOMIC_POSITIONS angstrom
Pm -5.779 -6.101 -4.233
Pm -1.926 -2.034 -1.411
Ag 0.000 0.000 0.000
CELL_PARAMETERS angstrom
-2.313 -4.550 0.420
-4.705 -0.667 -1.910
-0.688 -2.917 -4.154
! **Calculated volume**: 31.67 A^3/atom
! **Crystal system**: cubic
! **SG**: No. 225

***

Energies, relative to the best one, in kJ/mol of atoms: model A 37.0; model B 0.0.